1.
A plane-wave DFT calculation with PBEsol was carried out for NpB2 after structural relaxation. Values from VASP.

Quantum ESPRESSO input file:
```
&SYSTEM
  ibrav = 0, nat = 3, ntyp = 2
/
ATOMIC_SPECIES
Np 237.00 Np.upf
B 10.81 B.upf
ATOMIC_POSITIONS crystal
Np 0.0000 0.0000 0.0000
B 0.3333 0.6667 0.5000
B 0.6667 0.3333 0.5000
CELL_PARAMETERS angstrom
3.0107 0.0000 0.0000
-1.5053 2.6073 0.0000
0.0000 0.0000 3.9465
```

D(E_F), states/eV per cell: 2.4
Calculated total energy, eV per atom: -9.703

2.
A plane-wave DFT calculation with PBEsol was carried out for Sr3Ni after structural relaxation. Values from VASP.

Quantum ESPRESSO input file:
```
&SYSTEM
  ibrav = 0, nat = 4, ntyp = 2
/
ATOMIC_SPECIES
Ni 58.69 Ni.upf
Sr 87.62 Sr.upf
ATOMIC_POSITIONS crystal
Ni 0.0000 0.0000 0.0000
Sr 0.5000 0.5000 0.8324
Sr 0.0000 0.0000 0.5000
Sr 0.5000 0.5000 0.1676
CELL_PARAMETERS angstrom
-2.2433 -2.8090 -1.0031
1.7616 -0.2349 -3.2818
6.5752 -6.6821 4.0078
```

D(E_F), states/eV per cell: 3.4
Calculated total energy, eV per atom: -2.793

3.
A plane-wave DFT calculation with PBEsol was carried out for Sr2MoAu after structural relaxation. Values from VASP.

Quantum ESPRESSO input file:
```
&SYSTEM
  ibrav = 0, nat = 4, ntyp = 3
/
ATOMIC_SPECIES
Au 196.97 Au.upf
Mo 95.94 Mo.upf
Sr 87.62 Sr.upf
ATOMIC_POSITIONS crystal
Au 0.5422 0.5422 0.3735
Mo 0.2079 0.2079 0.3764
Sr 0.9636 0.9636 0.1091
Sr 0.7863 0.7863 0.6410
CELL_PARAMETERS angstrom
4.4742 0.0000 0.0000
2.2371 3.8748 0.0000
2.2371 1.2916 7.7937
```

Energy above the most stable polymorph in this dataset, meV per atom: 0
D(E_F), states/eV per cell: 4.0

4.
A plane-wave DFT calculation with PBEsol was carried out for KSe2Cl after structural relaxation. Values from VASP.

Quantum ESPRESSO input file:
```
&SYSTEM
  ibrav = 0, nat = 4, ntyp = 3
/
ATOMIC_SPECIES
K 39.10 K.upf
Se 78.96 Se.upf
Cl 35.45 Cl.upf
ATOMIC_POSITIONS crystal
K 0.0000 0.0000 0.0000
Se 0.7500 0.2500 0.5000
Se 0.2500 0.7500 0.5000
Cl 0.5000 0.5000 0.0000
CELL_PARAMETERS angstrom
-1.0008 1.5517 3.4365
-1.2261 -3.4962 1.2216
7.6716 -0.4379 0.2176
```

Formation energy (no corrections), eV/f.u.: -2.63
D(E_F), states/eV per cell: 1.8

5.
A plane-wave DFT calculation with PBEsol was carried out for Mn4Si4SnB2H2O18 after structural relaxation. Values from VASP.

Quantum ESPRESSO input file:
```
&SYSTEM
  ibrav = 0, nat = 31, ntyp = 6
/
ATOMIC_SPECIES
Mn 54.94 Mn.upf
Si 28.09 Si.upf
Sn 118.71 Sn.upf
B 10.81 B.upf
H 1.01 H.upf
O 16.00 O.upf
ATOMIC_POSITIONS crystal
Mn 0.6953 0.7125 0.2645
Mn 0.3047 0.2875 0.7355
Mn 0.1926 0.7230 0.2643
Mn 0.8074 0.2770 0.7356
Si 0.9275 0.6712 0.7561
Si 0.0725 0.3288 0.2439
Si 0.4681 0.6731 0.7777
Si 0.5319 0.3269 0.2223
Sn 0.0000 0.0000 0.0000
B 0.2544 0.8774 0.5655
B 0.7456 0.1226 0.4345
H 0.6671 0.9479 0.6665
H 0.3329 0.0521 0.3335
O 0.1474 0.0449 0.7071
O 0.8526 0.9551 0.2929
O 0.8804 0.7759 0.9651
O 0.1196 0.2241 0.0349
O 0.4355 0.7466 0.5874
O 0.5645 0.2534 0.4126
O 0.2729 0.8044 0.9810
O 0.7271 0.1956 0.0190
O 0.0917 0.7719 0.5737
O 0.9083 0.2281 0.4263
O 0.6993 0.7280 0.7350
O 0.3007 0.2720 0.2650
O 0.0172 0.4452 0.7311
O 0.9828 0.5548 0.2689
O 0.4895 0.4511 0.7938
O 0.5105 0.5489 0.2062
O 0.3613 0.9167 0.3565
O 0.6387 0.0833 0.6435
CELL_PARAMETERS angstrom
-1.7089 -6.7698 0.2629
6.5286 -3.3418 0.1165
-1.5785 -2.9479 6.8835
```

Calculated total energy, eV per atom: -7.934

6.
A plane-wave DFT calculation with PBEsol was carried out for HgPb5 after structural relaxation. Values from VASP.

Quantum ESPRESSO input file:
```
&SYSTEM
  ibrav = 0, nat = 6, ntyp = 2
/
ATOMIC_SPECIES
Hg 200.59 Hg.upf
Pb 207.20 Pb.upf
ATOMIC_POSITIONS crystal
Hg 0.5000 0.0000 0.0000
Pb 0.3376 0.5000 0.6752
Pb 0.1662 0.0000 0.3324
Pb 0.0000 0.5000 0.0000
Pb 0.8338 0.0000 0.6676
Pb 0.6624 0.5000 0.3248
CELL_PARAMETERS angstrom
4.9231 0.0000 0.0000
0.0000 4.6817 0.0000
-2.4616 0.0000 7.4154
```

Energy above the most stable polymorph in this dataset, meV per atom: 0
D(E_F), states/eV per cell: 2.8

7.
A plane-wave DFT calculation with PBEsol was carried out for SrScCr2 after structural relaxation. Values from VASP.

Quantum ESPRESSO input file:
```
&SYSTEM
  ibrav = 0, nat = 4, ntyp = 3
/
ATOMIC_SPECIES
Cr 52.00 Cr.upf
Sc 44.96 Sc.upf
Sr 87.62 Sr.upf
ATOMIC_POSITIONS crystal
Cr 0.0000 0.0000 0.5000
Cr 0.0000 0.5000 0.0000
Sc 0.5000 0.5000 0.5000
Sr 0.5000 0.0000 0.0000
CELL_PARAMETERS angstrom
-2.5978 -1.8578 -1.1990
2.1568 -0.0283 -4.6290
2.5109 -4.2831 1.1961
```

Energy above the most stable polymorph in this dataset, meV per atom: 222
D(E_F), states/eV per cell: 4.0

8.
A plane-wave DFT calculation with PBEsol was carried out for Cs2AgBr3 after structural relaxation. Values from VASP.

Quantum ESPRESSO input file:
```
&SYSTEM
  ibrav = 0, nat = 24, ntyp = 3
/
ATOMIC_SPECIES
Cs 132.91 Cs.upf
Br 79.90 Br.upf
Ag 107.87 Ag.upf
ATOMIC_POSITIONS crystal
Cs 0.2500 0.0114 0.8259
Cs 0.7500 0.8276 0.5191
Cs 0.2500 0.1724 0.4809
Cs 0.2500 0.5114 0.6741
Cs 0.7500 0.4886 0.3259
Cs 0.7500 0.9886 0.1741
Cs 0.2500 0.6724 0.0191
Cs 0.7500 0.3276 0.9809
Br 0.7500 0.8621 0.9509
Br 0.2500 0.7752 0.7121
Br 0.2500 0.1379 0.0491
Br 0.7500 0.5597 0.8597
Br 0.7500 0.2248 0.2879
Br 0.2500 0.2752 0.7879
Br 0.7500 0.7248 0.2121
Br 0.7500 0.3621 0.5491
Br 0.2500 0.9403 0.3597
Br 0.2500 0.4403 0.1403
Br 0.2500 0.6379 0.4509
Br 0.7500 0.0597 0.6403
Ag 0.7500 0.7448 0.8042
Ag 0.2500 0.7552 0.3042
Ag 0.7500 0.2448 0.6958
Ag 0.2500 0.2552 0.1958
CELL_PARAMETERS angstrom
-0.1624 -0.2912 4.8089
1.7743 -13.9555 -0.7853
14.5318 1.8137 0.6006
```

Formation energy (no corrections), eV/f.u.: -7.84
D(E_F), states/eV per cell: 0.0

Number 1: total moment 0.372 μB per atom. Number 2: total moment 0.000 μB per atom. Number 3: total moment 0.494 μB per atom. Number 4: total moment 0.000 μB per atom. Number 5: total moment 0.645 μB per atom. Number 6: total moment 0.000 μB per atom. Number 7: total moment 1.886 μB per atom. Number 8: total moment 0.000 μB per atom.